{"formula": "Ba2PmPuO6", "functional": "PBE-GGA", "state": "optimized geometry", "dos_at_fermi_per_ev_fu": 10.0, "dft_energy_ev_per_cell": -165.580, "rho_g_cm3": 7.31, "lattice": [[6.262, 0.000, -0.030], [0.000, 6.250, 0.000], [0.010, 0.000, 8.817]], "species": ["Ba", "Pm", "O", "Ba", "O", "O", "O", "O", "O", "Pu", "O", "O", "O", "Ba", "Pm", "O", "Pu", "O", "Ba", "O"], "frac_coords": [[0.007, 0.980, 0.250], [0.000, 0.500, 0.500], [0.786, 0.765, 0.959], [0.993, 0.020, 0.750], [0.927, 0.514, 0.238], [0.238, 0.215, 0.461], [0.286, 0.735, 0.459], [0.262, 0.715, 0.039], [0.714, 0.265, 0.541], [0.500, 0.000, 0.500], [0.738, 0.285, 0.961], [0.573, 0.014, 0.262], [0.427, 0.986, 0.738], [0.507, 0.520, 0.750], [0.500, 0.000, 0.000], [0.762, 0.785, 0.539], [0.000, 0.500, 0.000], [0.073, 0.486, 0.762], [0.493, 0.480, 0.250], [0.214, 0.235, 0.041]]}